(1)
The following is a DFT calculation (PBE) of BeSn after structural relaxation.

a b c (Å): 3.951 4.439 5.353
angles (deg): 75.43 68.37 64.14
Sites, in units of the cell vectors:
Be (0.017, 0.303, 0.160)
Be (0.983, 0.697, 0.840)
Sn (0.276, 0.689, 0.264)
Sn (0.724, 0.311, 0.736)

Polymorph energy (0 for the lowest one) (meV/atom): 157
Magnetic moment (Bohr magnetons per cell): 0.000
Fermi-level density of states (states/eV/atom): 0.314
SG: P-1 (2)



(2)
The following is a DFT calculation (PBE) of TbPmPb3 after structural relaxation.

a b c (Å): 10.013 6.484 9.784
angles (deg): 90.00 104.10 90.00
Sites, in units of the cell vectors:
Tb (0.101, 0.250, 0.150)
Tb (0.101, 0.250, 0.650)
Tb (0.899, 0.750, 0.350)
Tb (0.899, 0.750, 0.850)
Pm (0.323, 0.750, 0.456)
Pm (0.323, 0.750, 0.956)
Pm (0.677, 0.250, 0.044)
Pm (0.677, 0.250, 0.544)
Pb (0.105, 0.750, 0.151)
Pb (0.105, 0.750, 0.651)
Pb (0.311, 0.250, 0.452)
Pb (0.311, 0.250, 0.952)
Pb (0.499, 0.001, 0.250)
Pb (0.499, 0.499, 0.750)
Pb (0.501, 0.501, 0.250)
Pb (0.501, 0.999, 0.750)
Pb (0.689, 0.750, 0.048)
Pb (0.689, 0.750, 0.548)
Pb (0.895, 0.250, 0.349)
Pb (0.895, 0.250, 0.849)

Magnetic moment (Bohr magnetons per cell): 0.000
Fermi-level density of states (states/eV/atom): 0.627
SG: P2_1/c (14)
DFT total energy (Ha/atom): -0.1645



(3)
The following is a DFT calculation (PBE) of ScNiS3 after structural relaxation.

a b c (Å): 4.416 4.416 4.416
angles (deg): 90.00 90.00 90.00
Sites, in units of the cell vectors:
Sc (0.000, 0.000, 0.000)
Ni (0.500, 0.500, 0.500)
S (0.000, 0.500, 0.500)
S (0.500, 0.000, 0.500)
S (0.500, 0.500, 0.000)

Polymorph energy (0 for the lowest one) (meV/atom): 0
Magnetic moment (Bohr magnetons per cell): 0.000
Raw formation energy (eV/atom): -0.43
Fermi-level density of states (states/eV/atom): 0.538
SG: Pm-3m (221)



(4)
The following is a DFT calculation (PBE) of TbTh4Co4 after structural relaxation.

a b c (Å): 8.638 8.638 5.575
angles (deg): 90.00 90.00 90.00
Sites, in units of the cell vectors:
Tb (0.250, 0.250, 0.250)
Tb (0.750, 0.750, 0.750)
Th (0.057, 0.661, 0.188)
Th (0.161, 0.943, 0.688)
Th (0.339, 0.557, 0.688)
Th (0.443, 0.839, 0.188)
Th (0.557, 0.161, 0.812)
Th (0.661, 0.443, 0.312)
Th (0.839, 0.057, 0.312)
Th (0.943, 0.339, 0.812)
Co (0.042, 0.623, 0.678)
Co (0.123, 0.958, 0.178)
Co (0.377, 0.542, 0.178)
Co (0.458, 0.877, 0.678)
Co (0.542, 0.123, 0.322)
Co (0.623, 0.458, 0.822)
Co (0.877, 0.042, 0.822)
Co (0.958, 0.377, 0.322)

Magnetic moment (Bohr magnetons per cell): 0.000
Fermi-level density of states (states/eV/atom): 0.699
SG: P4_2/n (86)
DFT total energy (Ha/atom): -0.2648



(5)
The following is a DFT calculation (PBE) of Ac2LaNd3 after structural relaxation.

a b c (Å): 7.347 17.295 3.713
angles (deg): 90.00 90.00 90.00
Sites, in units of the cell vectors:
Ac (0.248, 0.165, 0.000)
Ac (0.252, 0.665, 0.500)
Ac (0.748, 0.335, 0.500)
Ac (0.752, 0.835, 0.000)
La (0.000, 0.500, 0.000)
La (0.500, 0.000, 0.500)
Nd (0.000, 0.000, 0.500)
Nd (0.250, 0.353, 0.500)
Nd (0.250, 0.853, 0.000)
Nd (0.500, 0.500, 0.000)
Nd (0.750, 0.147, 0.000)
Nd (0.750, 0.647, 0.500)

Polymorph energy (0 for the lowest one) (meV/atom): 107
Magnetic moment (Bohr magnetons per cell): 0.000
Fermi-level density of states (states/eV/atom): 1.410
SG: Pnnm (58)



(6)
The following is a DFT calculation (PBE) of LaHf3Nb after structural relaxation.

a b c (Å): 5.182 5.182 5.182
angles (deg): 90.00 90.00 90.00
Sites, in units of the cell vectors:
La (0.000, 0.000, 0.000)
Hf (0.000, 0.500, 0.500)
Hf (0.500, 0.000, 0.500)
Hf (0.500, 0.500, 0.000)
Nb (0.500, 0.500, 0.500)

Magnetic moment (Bohr magnetons per cell): 0.000
Fermi-level density of states (states/eV/atom): 2.183
SG: Pm-3m (221)
DFT total energy (Ha/atom): -0.3060



(7)
The following is a DFT calculation (PBE) of AcLaBi2 after structural relaxation.

a b c (Å): 5.825 5.825 5.825
angles (deg): 60.00 60.00 60.00
Sites, in units of the cell vectors:
Ac (0.000, 0.000, 0.000)
La (0.500, 0.500, 0.500)
Bi (0.250, 0.250, 0.250)
Bi (0.750, 0.750, 0.750)

Polymorph energy (0 for the lowest one) (meV/atom): 231
Magnetic moment (Bohr magnetons per cell): 0.000
Fermi-level density of states (states/eV/atom): 0.752
SG: Fm-3m (225)



(8)
The following is a DFT calculation (PBE) of TcPIr after structural relaxation.

a b c (Å): 2.891 4.124 4.310
angles (deg): 103.90 90.05 110.39
Sites, in units of the cell vectors:
Tc (0.000, 0.000, 0.000)
P (0.477, 0.954, 0.410)
Ir (0.240, 0.475, 0.654)

Polymorph energy (0 for the lowest one) (meV/atom): 345
Magnetic moment (Bohr magnetons per cell): 0.000
Fermi-level density of states (states/eV/atom): 0.896
SG: P1 (1)



Which theoretical density belongs to each record? In order, 5434, 9978, 3854, 10560, 7219, 9159, 9314, 11456 kg/m³.